The following is a PBE calculation of In2OsPb after structural relaxation, from the Alexandria database.

Results
- Density of states at the Fermi level: 2.22 states/eV/f.u.
- DFT formation energy: 0.38 eV/atom
- Space group: P4/mmm, No. 123

```
In2OsPb
1.0
-0.5014 -3.1424 -0.5514
2.4417 -0.0182 -2.1168
5.6027 -2.0312 6.4802
In Pb Os
2 1 1
Cartesian
2.4478 -0.8875 2.8313 In
0.3535 -0.1282 0.4089 In
5.1721 -3.1037 3.5261 Pb
2.3708 -2.0881 0.2860 Os
```



The following is a PBE calculation of CdO after structural relaxation, from the Alexandria database.

Results
- ΔE_f (raw): -0.94 eV per atom
- Density of states at the Fermi level: 0.95 states/eV/f.u.
- Space group: Pmmn, No. 59

```
CdO
1.0
-1.6588 1.8745 2.8157
-4.6427 -0.6644 -2.2928
-1.4030 -9.7553 5.6678
O Cd
6 6
Cartesian
-1.5533 -0.6227 2.0199 O
-2.8180 -0.4033 -1.3917 O
-5.0480 -6.9560 1.6569 O
-3.3557 -4.2015 3.3406 O
-2.5287 -7.4040 5.9598 O
-4.6203 -3.9821 -0.0709 O
-2.5576 0.6899 0.5544 Cd
-3.6160 -5.2947 1.3946 Cd
-2.3256 -5.4873 4.8034 Cd
-5.2510 -8.8727 2.8133 Cd
-4.2689 -2.0441 -1.1541 Cd
-1.9047 -2.5606 3.1030 Cd
```



The following is a PBE calculation of Pm3Pr2Y3 after structural relaxation, from the Alexandria database.

Results
- Density of states at the Fermi level: 12.16 states/eV/f.u.
- DFT formation energy: 0.12 eV/atom
- Distance to the lowest polymorph of the same formula: 2.46 kcal/mol of atoms
- Space group: Cmcm, No. 63

```
Pm3Pr2Y3
1.0
-1.5376 3.0987 -4.4981
-4.4209 -4.5823 1.9337
-6.9401 10.8514 9.8476
Pr Pm Y
4 6 6
Cartesian
-4.8480 2.6914 3.5112 Pr
-8.0506 6.6764 3.7719 Pr
-9.7245 9.2937 6.1472 Pr
-3.1740 0.0740 1.1360 Pr
-7.0859 9.3728 8.8789 Pm
-7.9853 3.3922 1.4872 Pm
-4.9833 2.8132 0.0622 Pm
-7.9153 6.5546 7.2210 Pm
-4.9133 5.9756 5.7960 Pm
-5.8127 -0.0050 -1.5957 Pm
-10.5392 8.0104 9.1208 Y
-6.3641 9.4598 5.1129 Y
-6.5345 -0.0920 2.1703 Y
-7.7559 3.6585 5.1714 Y
-5.1427 5.7093 2.1117 Y
-2.3594 1.3573 -1.8377 Y
```



The following is a PBE calculation of TlAs2SeBr after structural relaxation, from the Alexandria database.

Results
- ΔE_f (raw): 0.82 eV per atom
- Density of states at the Fermi level: 5.95 states/eV/f.u.
- Distance to the lowest polymorph of the same formula: 10.25 kcal/mol of atoms
- Space group: P4/mmm, No. 123

```
TlAs2SeBr
1.0
5.2068 0.0000 0.0000
0.0000 5.2068 0.0000
0.0000 0.0000 5.5156
As Br Se Tl
2 1 1 1
Cartesian
2.6034 0.0000 0.0000 As
0.0000 2.6034 0.0000 As
0.0000 0.0000 0.0000 Br
0.0000 0.0000 2.7578 Se
2.6034 2.6034 2.7578 Tl
```



The following is a PBE calculation of SrZrTe2 after structural relaxation, from the Alexandria database.

Results
- ΔE_f (raw): -0.71 eV per atom
- Density of states at the Fermi level: 2.97 states/eV/f.u.
- Distance to the lowest polymorph of the same formula: 8.42 kcal/mol of atoms
- Space group: I-42d, No. 122

```
SrZrTe2
1.0
6.8880 0.0000 0.0000
0.0000 6.8880 0.0000
3.4440 3.4440 7.2407
Sr Te Zr
2 4 2
Cartesian
3.4440 6.8880 3.6203 Sr
3.4440 3.4440 0.0000 Sr
5.1660 4.8363 5.4305 Te
1.3923 5.1660 1.8102 Te
5.4957 1.7220 1.8102 Te
8.6100 8.9397 5.4305 Te
6.8880 3.4440 3.6203 Zr
0.0000 0.0000 0.0000 Zr
```



The following is a PBE calculation of RbZrBr5 after structural relaxation, from the Alexandria database.

Results
- ΔE_f (raw): -1.47 eV per atom
- Density of states at the Fermi level: 0.00 states/eV/f.u.
- Space group: C2/c, No. 15

```
RbZrBr5
1.0
8.0677 -1.0657 -2.5527
-4.1038 7.4753 0.1397
-1.7647 0.4177 11.1852
Zr Br Rb
2 10 2
Cartesian
3.1515 -0.3240 4.3163 Zr
0.0000 0.0000 0.0000 Zr
-3.2341 6.7207 5.6503 Br
0.1012 0.7886 9.3965 Br
2.0981 6.0386 -0.6243 Br
0.2976 6.4623 6.8124 Br
5.4333 0.1065 3.1219 Br
-0.8703 4.6376 3.7531 Br
2.6216 4.2511 8.7097 Br
3.0695 2.1896 5.0191 Br
1.9016 0.3649 1.9598 Br
-0.4224 2.5761 0.0625 Br
-1.4487 3.6385 7.8755 Rb
3.6480 3.1887 0.8967 Rb
```



The following is a PBE calculation of DyHfRu4 after structural relaxation, from the Alexandria database.

Results
- Density of states at the Fermi level: 5.45 states/eV/f.u.
- DFT formation energy: -0.31 eV/atom
- Space group: F-43m, No. 216

```
DyHfRu4
1.0
5.2594 0.0000 0.0000
2.6297 4.5548 0.0000
2.6297 1.5183 4.2943
Ru Dy Hf
4 1 1
Cartesian
5.2594 1.5144 2.6853 Ru
3.9412 3.7976 2.6853 Ru
6.5776 3.7976 2.6853 Ru
5.2594 3.0365 0.5327 Ru
2.6297 1.5183 1.0736 Dy
0.0000 0.0000 0.0000 Hf
```



The following is a PBE calculation of CrHgPdAu after structural relaxation, from the Alexandria database.

Results
- Density of states at the Fermi level: 1.11 states/eV/f.u.
- DFT formation energy: 0.06 eV/atom
- Space group: F-43m, No. 216

```
CrHgPdAu
1.0
4.6326 0.0000 0.0000
2.3163 4.0120 0.0000
2.3163 1.3373 3.7825
Pd Hg Au Cr
1 1 1 1
Cartesian
4.6326 2.6746 1.8913 Pd
2.3163 1.3373 0.9456 Hg
6.9489 4.0120 2.8369 Au
0.0000 0.0000 0.0000 Cr
```



Among the records above, which one has the highest density of states at the Fermi level? Pm3Pr2Y3